The following is a GGA-PBE calculation of an optimized crystal structure of BaTaNb, from the Open Quantum Materials Database.

Lattice parameters (Å, degrees): 4.8417 4.8417 4.8417 60.00 60.00 60.00
Fractional positions:
Ba 0.0000 0.0000 0.0000
Ta 0.5000 0.5000 0.5000
Nb 0.2500 0.2500 0.2500

The value obtained for the total DFT energy (no corrections) is -6.4520 eV per atom. Its total moment is 0.003 μB/f.u. The value obtained for the distance to the lowest polymorph of the same formula is 0.000 eV per atom.

The following is a GGA-PBE calculation of an optimized crystal structure of BaTbNb, from the Open Quantum Materials Database.

Lattice parameters (Å, degrees): 5.3822 5.3822 5.3822 60.00 60.00 60.00
Fractional positions:
Ba 0.0000 0.0000 0.0000
Tb 0.5000 0.5000 0.5000
Nb 0.2500 0.2500 0.2500

The value obtained for the total DFT energy (no corrections) is -4.4109 eV per atom. Its total moment is 2.898 μB/f.u. The value obtained for the distance to the lowest polymorph of the same formula is 0.000 eV per atom.

The following is a GGA-PBE calculation of an optimized crystal structure of BaNb2Tc, from the Open Quantum Materials Database.

Lattice parameters (Å, degrees): 4.8842 4.8842 4.8842 60.00 60.00 60.00
Fractional positions:
Ba 0.0000 0.0000 0.0000
Nb 0.2500 0.2500 0.2500
Nb 0.5000 0.5000 0.5000
Tc 0.7500 0.7500 0.7500

The value obtained for the total DFT energy (no corrections) is -7.1057 eV per atom. Its total moment is 0.005 μB/f.u.

The following is a GGA-PBE calculation of an optimized crystal structure of BaNbTe, from the Open Quantum Materials Database.

Lattice parameters (Å, degrees): 5.2962 5.2962 5.2962 60.00 60.00 60.00
Fractional positions:
Ba 0.0000 0.0000 0.0000
Nb 0.2500 0.2500 0.2500
Te 0.5000 0.5000 0.5000

The value obtained for the total DFT energy (no corrections) is -4.6935 eV per atom. Its total moment is 4.785 μB/f.u. The value obtained for the distance to the lowest polymorph of the same formula is 0.000 eV per atom.